(1)
Compound: AcEuBi
Source: the Alexandria database
Functional: GGA-PBE
Structure: relaxed

The structure belongs to space group P-6m2 (No. 187); the cell edges are 5.4491, 5.4491 and 4.5229 Å and the angles 90.00°, 90.00° and 120.00°. Symmetry generates all atoms from Ac at (0.0000, 0.0000, 0.0000), Eu at (0.3333, 0.6667, 0.5000) and Bi at (0.6667, 0.3333, 0.5000).

The spin magnetization comes out at 7.3 μB per formula unit. Its mass density is 8.39 g/cm3. The value obtained for the total energy is -19.52 eV/f.u.

(2)
Compound: Pu2USb
Source: the Alexandria database
Functional: GGA-PBE
Structure: relaxed

The structure belongs to space group P4/mmm (No. 123); the cell edges are 4.5585, 4.5585 and 4.4894 Å and the angles 90.00°, 90.00° and 90.00°. Symmetry generates all atoms from Pu at (0.0000, 0.5000, 0.0000), U at (0.0000, 0.0000, 0.5000) and Sb at (0.5000, 0.5000, 0.5000).

The spin magnetization comes out at 8.6 μB per formula unit. Its mass density is 15.09 g/cm3. The value obtained for the total energy is -44.71 eV/f.u.

(3)
Compound: CaCo2Ge2
Source: the Alexandria database
Functional: GGA-PBE
Structure: relaxed

The structure belongs to space group I4/mmm (No. 139); the cell edges are 3.9757, 3.9757 and 10.3392 Å and the angles 90.00°, 90.00° and 90.00°. Symmetry generates all atoms from Ca at (0.0000, 0.0000, 0.0000), Co at (0.0000, 0.5000, 0.2500) and Ge at (0.0000, 0.0000, 0.3686).

The spin magnetization comes out at 0.0 μB per formula unit. Its mass density is 6.16 g/cm3. The value obtained for the total energy is -27.83 eV/f.u.

(4)
Compound: CdNiSb2Te
Source: the Alexandria database
Functional: GGA-PBE
Structure: relaxed

The structure belongs to space group P4/mmm (No. 123); the cell edges are 5.7604, 5.7604 and 5.4221 Å and the angles 90.00°, 90.00° and 90.00°. Symmetry generates all atoms from Cd at (0.0000, 0.0000, 0.0000), Ni at (0.5000, 0.5000, 0.0000), Sb at (0.0000, 0.5000, 0.5000) and Te at (0.0000, 0.0000, 0.5000).

The spin magnetization comes out at 0.0 μB per formula unit. Its mass density is 5.00 g/cm3. The value obtained for the total energy is -11.87 eV/f.u.

(5)
Compound: Y2RhCl
Source: the Alexandria database
Functional: GGA-PBE
Structure: relaxed

The structure belongs to space group Imm2 (No. 44); the cell edges are 3.4105, 3.7306 and 15.2205 Å and the angles 90.00°, 90.00° and 90.00°. Symmetry generates all atoms from Y at (0.0000, 0.0000, 0.0000), Y at (0.0000, 0.5000, 0.2825), Rh at (0.0000, 0.0000, 0.4139) and Cl at (0.0000, 0.5000, 0.6649).

The spin magnetization comes out at 0.0 μB per formula unit. Its mass density is 5.42 g/cm3. The value obtained for the total energy is -26.04 eV/f.u.

(6)
Compound: TbHf2Zn9
Source: the Alexandria database
Functional: GGA-PBE
Structure: relaxed

The structure belongs to space group R-3m (No. 166, hexagonal axes); the cell edges are 5.2729, 5.2729 and 25.0926 Å and the angles 90.00°, 90.00° and 120.00°. Symmetry generates all atoms from Tb at (0.0000, 0.0000, 0.0000), Hf at (0.0000, 0.0000, 0.1441), Zn at (0.0000, 0.0000, 0.3354), Zn at (0.0000, 0.0000, 0.5000) and Zn at (0.0081, 0.5040, 0.9142).

The spin magnetization comes out at 1.5 μB per formula unit. Its mass density is 9.11 g/cm3. The value obtained for the total energy is -39.03 eV/f.u.

(7)
Compound: SmPuHgPt
Source: the Alexandria database
Functional: GGA-PBE
Structure: relaxed

The structure belongs to space group F-43m (No. 216); the cell edges are 7.3092, 7.3092 and 7.3092 Å and the angles 90.00°, 90.00° and 90.00°. Symmetry generates all atoms from Sm at (0.0000, 0.0000, 0.0000), Pu at (0.0000, 0.0000, 0.5000), Hg at (0.2500, 0.2500, 0.7500) and Pt at (0.2500, 0.2500, 0.2500).

The spin magnetization comes out at 5.7 μB per formula unit. Its mass density is 13.44 g/cm3. The value obtained for the total energy is -27.57 eV/f.u.

(8)
Compound: Hf3CrH
Source: the Alexandria database
Functional: GGA-PBE
Structure: relaxed

The structure belongs to space group Pm-3m (No. 221); the cell edges are 4.3217, 4.3217 and 4.3217 Å and the angles 90.00°, 90.00° and 90.00°. Symmetry generates all atoms from Hf at (0.0000, 0.0000, 0.5000), Cr at (0.5000, 0.5000, 0.5000) and H at (0.0000, 0.0000, 0.0000).

The spin magnetization comes out at 0.0 μB per formula unit. Its mass density is 12.11 g/cm3. The value obtained for the total energy is -41.86 eV/f.u.

(9)
Compound: Y2TaSi
Source: the Alexandria database
Functional: GGA-PBE
Structure: relaxed

The structure belongs to space group R-3m (No. 166, hexagonal axes); the cell edges are 3.3328, 3.3328 and 28.9834 Å and the angles 90.00°, 90.00° and 120.00°. Symmetry generates all atoms from Y at (0.0000, 0.0000, 0.2451), Ta at (0.0000, 0.0000, 0.0000) and Si at (0.0000, 0.0000, 0.5000).

The spin magnetization comes out at 0.0 μB per formula unit. Its mass density is 6.91 g/cm3. The value obtained for the total energy is -29.52 eV/f.u.

(10)
Compound: NbHgIN2
Source: the Alexandria database
Functional: GGA-PBE
Structure: relaxed

The structure belongs to space group P4/mmm (No. 123); the cell edges are 4.1735, 4.1735 and 5.8720 Å and the angles 90.00°, 90.00° and 90.00°. Symmetry generates all atoms from Nb at (0.0000, 0.0000, 0.0000), Hg at (0.5000, 0.5000, 0.5000), I at (0.5000, 0.5000, 0.0000) and N at (0.0000, 0.5000, 0.5000).

The spin magnetization comes out at 0.0 μB per formula unit. Its mass density is 7.28 g/cm3. The value obtained for the total energy is -16.84 eV/f.u.

(11)
Compound: Sm2HoTh
Source: the Alexandria database
Functional: GGA-PBE
Structure: relaxed

The structure belongs to space group R3m (No. 160, hexagonal axes); the cell edges are 3.6128, 3.6128 and 34.7733 Å and the angles 90.00°, 90.00° and 120.00°. Symmetry generates all atoms from Sm at (0.0000, 0.0000, 0.0000), Sm at (0.0000, 0.0000, 0.1684), Ho at (0.0000, 0.0000, 0.7504) and Th at (0.0000, 0.0000, 0.5843).

The spin magnetization comes out at 0.0 μB per formula unit. Its mass density is 8.84 g/cm3. The value obtained for the total energy is -21.35 eV/f.u.

(12)
Compound: Ac3PmPb2
Source: the Alexandria database
Functional: GGA-PBE
Structure: relaxed

The structure belongs to space group R-3c (No. 167, hexagonal axes); the cell edges are 8.8594, 8.8594 and 22.3789 Å and the angles 90.00°, 90.00° and 120.00°. Symmetry generates all atoms from Ac at (0.0000, 0.2841, 0.2500), Pm at (0.0000, 0.0000, 0.0000) and Pb at (0.0000, 0.0000, 0.1443).

The spin magnetization comes out at 0.0 μB per formula unit. Its mass density is 8.12 g/cm3. The value obtained for the total energy is -25.30 eV/f.u.

(13)
Compound: Sr2TlPbS5
Source: the Alexandria database
Functional: GGA-PBE
Structure: relaxed

The structure belongs to space group Cmc2_1 (No. 36); the cell edges are 4.1231, 18.2298 and 12.4153 Å and the angles 90.00°, 90.00° and 90.00°. Symmetry generates all atoms from Sr at (0.0000, 0.1089, 0.0000), Sr at (0.0000, 0.1284, 0.6315), Tl at (0.0000, 0.4466, 0.7727), Pb at (0.0000, 0.2223, 0.3453), S at (0.0000, 0.0483, 0.3942), S at (0.0000, 0.2769, 0.0021), S at (0.0000, 0.3094, 0.6854), S at (0.0000, 0.3672, 0.3203) and S at (0.0000, 0.4960, 0.0906).

The spin magnetization comes out at 0.0 μB per formula unit. Its mass density is 5.32 g/cm3. The value obtained for the total energy is -39.24 eV/f.u.

(14)
Compound: NdY2PaN4
Source: the Alexandria database
Functional: GGA-PBE
Structure: relaxed

The structure belongs to space group P2/m (No. 10); the cell edges are 6.0670, 3.5372 and 6.1195 Å and the angles 90.00°, 109.23° and 90.00°. Symmetry generates all atoms from Nd at (0.0000, 0.0000, 0.0000), Y at (0.5000, 0.0000, 0.5000), Y at (0.5000, 0.5000, 0.0000), Pa at (0.0000, 0.5000, 0.5000), N at (0.2440, 0.0000, 0.7336) and N at (0.2463, 0.5000, 0.2728).

The spin magnetization comes out at 0.0 μB per formula unit. Its mass density is 8.16 g/cm3. The value obtained for the total energy is -73.38 eV/f.u.

(15)
Compound: AlSiOsPd2
Source: the Alexandria database
Functional: GGA-PBE
Structure: relaxed

The structure belongs to space group P4/mmm (No. 123); the cell edges are 4.9238, 4.9238 and 4.4885 Å and the angles 90.00°, 90.00° and 90.00°. Symmetry generates all atoms from Al at (0.0000, 0.0000, 0.0000), Si at (0.5000, 0.5000, 0.0000), Os at (0.5000, 0.5000, 0.5000) and Pd at (0.0000, 0.5000, 0.5000).

The spin magnetization comes out at 0.0 μB per formula unit. Its mass density is 6.99 g/cm3. The value obtained for the total energy is -26.12 eV/f.u.

(16)
Compound: NbHgTe2
Source: the Alexandria database
Functional: GGA-PBE
Structure: relaxed

The structure belongs to space group P2_1/m (No. 11); the cell edges are 7.8800, 3.8617 and 7.9462 Å and the angles 90.00°, 119.53° and 90.00°. Symmetry generates all atoms from Nb at (0.1959, 0.2500, 0.3136), Hg at (0.1679, 0.7500, 0.5916), Te at (0.1039, 0.2500, 0.9000) and Te at (0.4603, 0.7500, 0.2956).

The spin magnetization comes out at 0.0 μB per formula unit. Its mass density is 8.66 g/cm3. The value obtained for the total energy is -17.24 eV/f.u.

(17)
Compound: AlSi3H
Source: the Alexandria database
Functional: GGA-PBE
Structure: relaxed

The structure belongs to space group Pm-3m (No. 221); the cell edges are 3.9808, 3.9808 and 3.9808 Å and the angles 90.00°, 90.00° and 90.00°. Symmetry generates all atoms from Al at (0.0000, 0.0000, 0.0000), Si at (0.0000, 0.5000, 0.5000) and H at (0.5000, 0.5000, 0.5000).

The spin magnetization comes out at 0.0 μB per formula unit. Its mass density is 2.95 g/cm3. The value obtained for the total energy is -20.80 eV/f.u.

(18)
Compound: AgHgTe2
Source: the Alexandria database
Functional: GGA-PBE
Structure: relaxed

The structure belongs to space group P2_1 (No. 4); the cell edges are 4.5792, 6.4420 and 9.2183 Å and the angles 90.00°, 90.04° and 90.00°. Symmetry generates all atoms from Ag at (0.2497, 0.0000, 0.1233), Hg at (0.2512, 0.9801, 0.6320), Te at (0.2489, 0.7503, 0.3674) and Te at (0.2503, 0.7351, 0.8866).

The spin magnetization comes out at 0.0 μB per formula unit. Its mass density is 6.88 g/cm3. The value obtained for the total energy is -9.61 eV/f.u.

(19)
Compound: CdSi2P
Source: the Alexandria database
Functional: GGA-PBE
Structure: relaxed

The structure belongs to space group Imm2 (No. 44); the cell edges are 3.2946, 4.7197 and 9.1836 Å and the angles 90.00°, 90.00° and 90.00°. Symmetry generates all atoms from Cd at (0.0000, 0.0000, 0.0000), Si at (0.0000, 0.0000, 0.4750), Si at (0.0000, 0.5000, 0.1980) and P at (0.0000, 0.5000, 0.7945).

The spin magnetization comes out at 0.0 μB per formula unit. Its mass density is 4.64 g/cm3. The value obtained for the total energy is -15.29 eV/f.u.

(20)
Compound: In2CoSb
Source: the Alexandria database
Functional: GGA-PBE
Structure: relaxed

The structure belongs to space group P4/mmm (No. 123); the cell edges are 3.1367, 3.1367 and 8.5751 Å and the angles 90.00°, 90.00° and 90.00°. Symmetry generates all atoms from In at (0.0000, 0.0000, 0.1851), Co at (0.5000, 0.5000, 0.0000) and Sb at (0.5000, 0.5000, 0.5000).

The spin magnetization comes out at 0.6 μB per formula unit. Its mass density is 8.08 g/cm3. The value obtained for the total energy is -15.91 eV/f.u.